Here is Fe2Se3 after structural relaxation from OQMD via LeMat-Bulk. Energies are from PBE.

Summary:
Uncorrected energy = -5.636 eV/atom
Theoretical density = 6.7 g/cm3

Geometry as CIF:
```
data_Fe2Se3
_symmetry_space_group_name_H-M 'R -3'
_symmetry_Int_Tables_number 148
_symmetry_space_group_name_Hall '-R 3'
_cell_length_a 6.1789
_cell_length_b 6.1789
_cell_length_c 15.5868
_cell_angle_alpha 90.00
_cell_angle_beta 90.00
_cell_angle_gamma 120.00
loop_
_atom_site_label
_atom_site_fract_x
_atom_site_fract_y
_atom_site_fract_z
_atom_site_occupancy
Fe1 0.0000 0.0000 0.0000 1
Fe2 0.0000 0.0000 0.1643 1
Fe3 0.0000 0.0000 0.5000 1
Se1 0.0013 0.6600 0.0859 1
```

=====

Here is FeSe2 after structural relaxation from OQMD via LeMat-Bulk. Energies are from PBE.

Summary:
Uncorrected energy = -5.084 eV/atom
Theoretical density = 7.1 g/cm3

Geometry as CIF:
```
data_FeSe2
_symmetry_space_group_name_H-M 'I m m m'
_symmetry_Int_Tables_number 71
_symmetry_space_group_name_Hall '-I 2 2'
_cell_length_a 3.964
_cell_length_b 4.294
_cell_length_c 5.891
_cell_angle_alpha 90.00
_cell_angle_beta 90.00
_cell_angle_gamma 90.00
loop_
_atom_site_label
_atom_site_fract_x
_atom_site_fract_y
_atom_site_fract_z
_atom_site_occupancy
Fe1 0.000 0.000 0.000 1
Se1 0.000 0.500 0.248 1
```

=====

Here is Fe2Se3 after structural relaxation from OQMD via LeMat-Bulk. Energies are from PBE.

Summary:
Uncorrected energy = -5.663 eV/atom
Theoretical density = 7.2 g/cm3

Geometry as CIF:
```
data_Fe2Se3
_symmetry_space_group_name_H-M 'C 1 2/m 1'
_symmetry_Int_Tables_number 12
_symmetry_space_group_name_Hall '-C 2y'
_cell_length_a 11.844
_cell_length_b 3.577
_cell_length_c 7.675
_cell_angle_alpha 90.00
_cell_angle_beta 99.19
_cell_angle_gamma 90.00
loop_
_atom_site_label
_atom_site_fract_x
_atom_site_fract_y
_atom_site_fract_z
_atom_site_occupancy
Fe1 0.146 0.000 0.325 1
Fe2 0.171 0.500 0.828 1
Se1 0.019 0.500 0.329 1
Se2 0.134 0.000 0.015 1
Se3 0.208 0.000 0.638 1
```

=====

Here is Fe2Se3 after structural relaxation from OQMD via LeMat-Bulk. Energies are from PBE.

Summary:
Uncorrected energy = -5.525 eV/atom
Theoretical density = 6.2 g/cm3

Geometry as CIF:
```
data_Fe2Se3
_symmetry_space_group_name_H-M 'P -3 m 1'
_symmetry_Int_Tables_number 164
_symmetry_space_group_name_Hall '-P 3 2"'
_cell_length_a 3.3784
_cell_length_b 3.3784
_cell_length_c 9.4031
_cell_angle_alpha 90.00
_cell_angle_beta 90.00
_cell_angle_gamma 120.00
loop_
_atom_site_label
_atom_site_fract_x
_atom_site_fract_y
_atom_site_fract_z
_atom_site_occupancy
Fe1 0.3333 0.6667 0.1801 1
Se1 0.0000 0.0000 0.0000 1
Se2 0.3333 0.6667 0.6732 1
```

=====

Here is Fe2Se3 after structural relaxation from OQMD via LeMat-Bulk. Energies are from PBE.

Summary:
Uncorrected energy = -5.380 eV/atom
Theoretical density = 6.0 g/cm3

Geometry as CIF:
```
data_Fe2Se3
_symmetry_space_group_name_H-M 'R 3 m'
_symmetry_Int_Tables_number 160
_symmetry_space_group_name_Hall 'R 3 -2"'
_cell_length_a 3.9537
_cell_length_b 3.9537
_cell_length_c 21.4557
_cell_angle_alpha 90.00
_cell_angle_beta 90.00
_cell_angle_gamma 120.00
loop_
_atom_site_label
_atom_site_fract_x
_atom_site_fract_y
_atom_site_fract_z
_atom_site_occupancy
Fe1 0.0000 0.0000 0.0000 1
Fe2 0.0000 0.0000 0.3903 1
Se1 0.0000 0.0000 0.2792 1
Se2 0.0000 0.0000 0.5011 1
Se3 0.0000 0.0000 0.7448 1
```

=====

Here is Fe9Se8 after structural relaxation from OQMD via LeMat-Bulk. Energies are from PBE.

Summary:
Uncorrected energy = -6.192 eV/atom
Theoretical density = 6.9 g/cm3

Geometry as CIF:
```
data_Fe9Se8
_symmetry_space_group_name_H-M 'F m -3 m'
_symmetry_Int_Tables_number 225
_symmetry_space_group_name_Hall '-F 4 2 3'
_cell_length_a 10.276
_cell_length_b 10.276
_cell_length_c 10.276
_cell_angle_alpha 90.00
_cell_angle_beta 90.00
_cell_angle_gamma 90.00
loop_
_atom_site_label
_atom_site_fract_x
_atom_site_fract_y
_atom_site_fract_z
_atom_site_occupancy
Fe1 0.000 0.000 0.000 1
Fe2 0.120 0.120 0.380 1
Se1 0.000 0.000 0.229 1
Se2 0.250 0.250 0.250 1
```